VASP calculation (GGA+U) on an optimized crystal structure of RbTmCo2F8.

abc: 5.2878 5.3269 7.6699
angles: 79.84 80.00 77.19
Last column: nearest neighbours and their distance in Å.
Positions (direct):
F (0.7885, 0.2416, 0.7928)  1 Co 2.01, 1 Tm 2.17
Rb (0.0000, 0.0000, 0.5000)  6 F 2.73-2.89
F (0.2115, 0.7584, 0.2072)  1 Co 2.01, 1 Tm 2.17
F (0.7343, 0.7398, 0.0663)  1 Co 1.98, 1 Tm 2.13
Co (0.4472, 0.4473, 0.7181)  5 F 1.98-2.12
Co (0.5528, 0.5527, 0.2819)  5 F 1.98-2.12
F (0.3499, 0.3460, 0.5042)  2 Co 1.99-2.12
F (0.6501, 0.6540, 0.4958)  2 Co 1.99-2.12
Tm (0.0000, 0.0000, 0.0000)  6 F 2.13-2.17
F (0.2391, 0.7839, 0.7952)  1 Co 2.01, 1 Tm 2.17
F (0.7609, 0.2162, 0.2048)  1 Co 2.01, 1 Tm 2.17
F (0.2657, 0.2602, 0.9337)  1 Co 1.98, 1 Tm 2.13

- Fermi-level density of states (states/eV per atom) = 0.000
- space group = P-1
- calculated volume (A^3/atom) = 17.11
- DFT total energy (eV per atom) = -5.42